SrMo3I | PBE | optimized geometry

Raw total energy: -5.453 eV per atom
Energy relative to the elements, uncorrected: 1692 meV/atom
Polymorph energy (0 for the lowest one): 0 meV/atom

Geometry as POSCAR:
```
SrMo3I
1.0
5.001 0.000 0.000
0.000 5.001 0.000
0.000 0.000 5.001
I Sr Mo
1 1 3
Cartesian
0.000 0.000 0.000
2.500 2.500 2.500
0.000 2.500 0.000
0.000 0.000 2.500
2.500 0.000 0.000
```

Ca2ZrW | PBE | optimized geometry

Raw total energy: -5.613 eV per atom
Polymorph energy (0 for the lowest one): 375 meV/atom
DFT formation energy: 3.1 eV/f.u.

Geometry as POSCAR:
```
Ca2ZrW
1.0
2.973 -0.002 0.000
-0.651 2.901 0.000
0.000 0.000 11.091
Ca Zr W
2 1 1
Cartesian
0.000 0.000 0.268
0.000 0.000 5.278
1.161 1.450 8.318
1.161 1.450 2.773
```

NdPuTeSe | PBE | optimized geometry

Raw total energy: -7.679 eV per atom
Energy relative to the elements, uncorrected: -1247 meV/atom
Polymorph energy (0 for the lowest one): 235 meV/atom

Geometry as POSCAR:
```
NdPuTeSe
1.0
-1.456 0.020 5.114
2.964 -2.530 3.618
2.809 2.785 3.554
Te Nd Se Pu
1 1 1 1
Cartesian
3.238 0.206 9.215
2.158 0.138 6.143
1.079 0.069 3.072
0.000 0.000 0.000
```

TeIr2Se | PBE | optimized geometry

Raw total energy: -5.348 eV per atom
Energy relative to the elements, uncorrected: 739 meV/atom
Polymorph energy (0 for the lowest one): 718 meV/atom

Geometry as POSCAR:
```
TeIr2Se
1.0
2.989 -0.002 0.000
-1.519 2.574 0.000
0.000 0.000 9.306
Ir Se Te
2 1 1
Cartesian
0.000 0.000 0.117
0.000 0.000 4.536
0.735 1.286 2.327
0.735 1.286 6.980
```

Question: Which of these has the highest raw total energy?
Answer: TeIr2Se

Question: What is the polymorph energy (0 for the lowest one) in the third record?
Answer: 235 meV/atom

Question: What is the formula in the second record?
Answer: Ca2ZrW

Question: Among the records above, which one has the lowest raw total energy?
Answer: NdPuTeSe